GGA-PBE Mg3SbN, optimized geometry; raw formation energy = -446.3 meV/atom; symmetry = P1, No. 1
1.0
3.269 0.000 0.000
1.608 6.782 0.000
0.001 1.434 8.633
Mg Sb N
6 2 2
Cartesian
0.000 0.000 0.000
1.611 6.922 4.941
1.632 2.744 0.588
1.638 2.554 6.115
1.635 0.625 2.401
3.268 2.626 3.416
1.624 4.980 2.503
3.275 5.002 6.732
1.636 1.468 4.350
3.268 1.619 1.439

---

GGA-PBE TbNd2ScBi5, optimized geometry; energy relative to the elements = -0.061 eV per atom; symmetry = P4/mmm, No. 123
1.0
5.500 0.000 0.000
0.000 5.500 0.000
0.000 0.000 11.579
Tb Nd Sc Bi
1 2 1 5
Cartesian
0.000 0.000 0.000
2.750 2.750 2.544
2.750 2.750 9.035
0.000 0.000 5.789
0.000 0.000 3.026
0.000 0.000 8.553
0.000 2.750 0.000
2.750 0.000 0.000
2.750 2.750 5.789

---

GGA-PBE Rh2PbAu, optimized geometry; energy relative to the elements = 0.199 eV per atom; symmetry = Imm2, No. 44
1.0
-1.527 2.351 4.933
1.527 -2.351 4.933
1.527 2.351 -4.933
Rh Pb Au
2 1 1
Cartesian
0.000 0.000 0.000
0.000 2.351 2.597
1.527 0.000 2.366
0.000 0.000 4.998

---

GGA-PBE K3Tl4Au2, optimized geometry; energy relative to the elements = -0.161 eV per atom; symmetry = C2/m, No. 12; energy above the most stable polymorph in this dataset = 13 meV per atom
1.0
5.842 -2.697 0.000
5.842 2.697 0.000
-0.605 0.000 9.603
K Tl Au
3 4 2
Cartesian
0.000 0.000 0.000
4.576 0.000 2.933
6.503 0.000 6.670
1.152 0.000 3.912
3.029 0.000 9.019
8.050 0.000 0.585
9.927 0.000 5.692
2.992 0.000 6.188
8.086 0.000 3.415

---

GGA-PBE Ho5Tl4Ga, optimized geometry; energy relative to the elements = -0.375 eV per atom; symmetry = P4/mmm, No. 123
1.0
3.661 0.000 0.000
0.000 3.661 0.000
0.000 0.000 19.508
Ho Tl Ga
5 4 1
Cartesian
0.000 0.000 0.000
0.000 0.000 4.034
0.000 0.000 8.034
0.000 0.000 11.474
0.000 0.000 15.474
1.830 1.830 2.022
1.830 1.830 6.017
1.830 1.830 13.491
1.830 1.830 17.486
1.830 1.830 9.754

---

GGA-PBE Gd2TeSe, optimized geometry; raw formation energy = -1632.3 meV/atom; symmetry = R-3m, No. 166
1.0
2.123 1.226 7.055
-2.123 1.226 7.055
0.000 -2.451 7.055
Gd Te Se
2 1 1
Cartesian
0.000 0.000 5.083
0.000 0.000 16.082
0.000 0.000 0.000
0.000 0.000 10.582

---

GGA-PBE LiAcLaEr, optimized geometry; energy relative to the elements = 0.131 eV per atom; symmetry = F-43m, No. 216
1.0
0.000 4.075 4.075
4.075 0.000 4.075
4.075 4.075 0.000
Li Ac La Er
1 1 1 1
Cartesian
0.000 0.000 0.000
6.112 6.112 6.112
2.037 2.037 2.037
4.075 4.075 4.075

---

GGA-PBE TcAs2Ru, optimized geometry; energy relative to the elements = 0.033 eV per atom; symmetry = R3m, No. 160; energy above the most stable polymorph in this dataset = 157 meV per atom
1.0
1.455 0.840 10.188
-1.455 0.840 10.188
0.000 -1.680 10.188
Tc As Ru
1 2 1
Cartesian
0.000 0.000 0.000
0.000 0.000 16.309
0.000 0.000 22.311
0.000 0.000 7.972

---

GGA-PBE AlZnCu2, optimized geometry; energy relative to the elements = -0.073 eV per atom; symmetry = F-43m, No. 216
1.0
0.000 2.979 2.979
2.979 0.000 2.979
2.979 2.979 0.000
Al Zn Cu
1 1 2
Cartesian
0.000 0.000 0.000
4.469 4.469 4.469
1.490 1.490 1.490
2.979 2.979 2.979

---

GGA-PBE Sc2VRu2, optimized geometry; energy relative to the elements = -0.288 eV per atom; symmetry = P4/mbm, No. 127
1.0
6.369 0.000 0.000
0.000 6.369 0.000
0.000 0.000 4.329
Sc V Ru
4 2 4
Cartesian
1.123 2.061 0.000
2.061 5.246 0.000
4.308 1.123 0.000
5.246 4.308 0.000
0.000 0.000 2.164
3.184 3.184 2.164
0.912 4.096 2.164
2.273 0.912 2.164
4.096 5.457 2.164
5.457 2.273 2.164

---

GGA-PBE Ba2LaCu, optimized geometry; energy relative to the elements = 0.466 eV per atom; symmetry = Fm-3m, No. 225; energy above the most stable polymorph in this dataset = 424 meV per atom
1.0
0.000 4.139 4.139
4.139 0.000 4.139
4.139 4.139 0.000
Ba La Cu
2 1 1
Cartesian
2.070 2.070 2.070
6.209 6.209 6.209
0.000 0.000 0.000
4.139 4.139 4.139

---

GGA-PBE PmHo7Tm12, optimized geometry; energy relative to the elements = 0.317 eV per atom; symmetry = R-3, No. 148; energy above the most stable polymorph in this dataset = 0 meV per atom
1.0
6.338 3.659 4.481
-6.338 3.659 4.481
0.000 -7.319 4.481
Pm Ho Tm
1 7 12
Cartesian
0.000 0.000 0.000
-0.419 -2.221 2.001
-1.714 1.473 2.001
2.133 0.748 2.001
0.000 0.000 6.721
-2.133 -0.748 11.441
1.714 -1.473 11.441
0.419 2.221 11.441
-1.696 -1.440 4.646
-3.541 1.093 5.645
-2.717 -2.520 7.797
0.824 -3.613 5.645
-0.399 2.189 4.646
2.095 -0.749 4.646
-2.095 0.749 8.796
0.399 -2.189 8.796
-0.824 3.613 7.797
2.717 2.520 5.645
3.541 -1.093 7.797
1.696 1.440 8.796

---

GGA-PBE FeTeMoI2, optimized geometry; raw formation energy = 1030.8 meV/atom; symmetry = P4/mmm, No. 123; energy above the most stable polymorph in this dataset = 0 meV per atom
1.0
5.586 0.000 0.000
0.000 5.586 0.000
0.000 0.000 5.219
Fe Te Mo I
1 1 1 2
Cartesian
0.000 0.000 0.000
2.793 2.793 0.000
2.793 2.793 2.609
0.000 2.793 2.609
2.793 0.000 2.609

---

GGA-PBE Ni2TeW, optimized geometry; raw formation energy = 395.6 meV/atom; symmetry = Imm2, No. 44
1.0
-1.809 1.896 4.317
1.809 -1.896 4.317
1.809 1.896 -4.317
Ni Te W
2 1 1
Cartesian
0.000 0.000 0.000
0.000 1.896 2.510
1.809 0.000 2.351
0.000 0.000 4.595

---

GGA-PBE MnAu2Br, optimized geometry; raw formation energy = 413.1 meV/atom; symmetry = Fm-3m, No. 225; energy above the most stable polymorph in this dataset = 462 meV per atom
1.0
0.000 3.401 3.401
3.401 0.000 3.401
3.401 3.401 0.000
Mn Au Br
1 2 1
Cartesian
0.000 0.000 0.000
1.700 1.700 1.700
5.101 5.101 5.101
3.401 3.401 3.401

---

GGA-PBE GaSbTe2F, optimized geometry; raw formation energy = 237.7 meV/atom; symmetry = P4/mmm, No. 123; energy above the most stable polymorph in this dataset = 333 meV per atom
1.0
5.313 0.000 0.000
0.000 5.313 0.000
0.000 0.000 5.331
Ga Sb Te F
1 1 2 1
Cartesian
0.000 0.000 0.000
0.000 0.000 2.665
0.000 2.656 0.000
2.656 0.000 0.000
2.656 2.656 2.665

---

GGA-PBE La2ErTlO, optimized geometry; raw formation energy = -1351.5 meV/atom; symmetry = P4/mmm, No. 123
1.0
5.142 0.000 0.000
0.000 5.142 0.000
0.000 0.000 4.720
La Er Tl O
2 1 1 1
Cartesian
0.000 2.571 0.000
2.571 0.000 0.000
0.000 0.000 2.360
2.571 2.571 2.360
0.000 0.000 0.000

---

GGA-PBE Nd2Ga3Rh, optimized geometry; energy relative to the elements = -0.711 eV per atom; symmetry = Cm, No. 8
1.0
5.291 -2.211 0.000
5.291 2.211 0.000
-4.834 0.000 5.481
Nd Ga Rh
2 3 1
Cartesian
0.000 0.000 0.000
-1.880 0.000 3.321
3.058 0.000 1.075
1.283 0.000 3.288
5.696 0.000 2.162
7.496 0.000 0.035

---

GGA-PBE NaAc2NdTe5, optimized geometry; raw formation energy = -1393.4 meV/atom; symmetry = Cmc2_1, No. 36
1.0
2.331 -9.643 0.000
2.331 9.643 0.000
0.000 0.000 14.149
Na Ac Nd Te
2 4 2 10
Cartesian
2.331 8.971 7.075
2.331 -8.971 0.000
2.331 2.539 4.713
2.331 2.013 10.151
2.331 -2.013 3.076
2.331 -2.539 11.788
2.331 3.880 0.573
2.331 -3.880 7.648
2.331 9.530 11.381
2.331 7.061 0.438
2.331 6.013 5.415
2.331 5.402 9.850
2.331 1.056 1.637
2.331 -1.056 8.712
2.331 -5.402 2.775
2.331 -6.013 12.490
2.331 -7.061 7.513
2.331 -9.530 4.306

---

GGA-PBE SrDyBr6, optimized geometry; raw formation energy = -1589.7 meV/atom; symmetry = P-1, No. 2
1.0
7.260 0.000 0.000
3.442 6.483 0.000
3.309 1.529 6.399
Sr Dy Br
1 1 6
Cartesian
0.000 0.000 0.000
7.005 4.006 3.199
5.509 5.888 4.576
4.850 3.934 1.312
5.755 1.958 4.626
8.256 6.054 1.772
9.161 4.078 5.086
8.502 2.124 1.822